Entry 1:
DFT (PBE) results for a relaxed structure of Sm2HoTmSc.

Computed properties:
Volume: 32.712 Å³/atom
Fermi-level density of states: 15.02 states/eV per cell
Formation energy from the elements: 379 meV/atom
Total energy: -45.85 eV for the cell shown

abc: 6.952 6.952 7.119
angles: 90.00 90.00 108.08
Sites, in units of the cell vectors:
Sm 0.199 0.199 0.000
Sm 0.199 0.199 0.500
Sm 0.801 0.801 0.000
Sm 0.801 0.801 0.500
Ho 0.232 0.768 0.750
Ho 0.768 0.232 0.250
Tm 0.233 0.767 0.250
Tm 0.767 0.233 0.750
Sc 0.499 0.501 0.750
Sc 0.501 0.499 0.250

***

Entry 2:
DFT (PBE) results for a relaxed structure of Sm2HoTm4Sc.

Computed properties:
Volume: 30.298 Å³/atom
Fermi-level density of states: 11.86 states/eV per cell
Formation energy from the elements: 36 meV/atom
Total energy: -37.95 eV for the cell shown

abc: 4.958 4.958 9.860
angles: 90.00 90.00 90.00
Sites, in units of the cell vectors:
Sm 0.000 0.000 0.000
Sm 0.500 0.500 0.500
Ho 0.000 0.000 0.500
Tm 0.000 0.500 0.246
Tm 0.000 0.500 0.754
Tm 0.500 0.000 0.246
Tm 0.500 0.000 0.754
Sc 0.500 0.500 0.000

***

Entry 3:
DFT (PBE) results for a relaxed structure of SmHo2TmSc.

Computed properties:
Volume: 32.083 Å³/atom
Fermi-level density of states: 13.06 states/eV per cell
Formation energy from the elements: 347 meV/atom
Total energy: -45.88 eV for the cell shown

abc: 6.907 6.907 7.063
angles: 90.00 90.00 107.78
Sites, in units of the cell vectors:
Sm 0.231 0.769 0.750
Sm 0.769 0.231 0.250
Ho 0.197 0.197 0.000
Ho 0.197 0.197 0.500
Ho 0.803 0.803 0.000
Ho 0.803 0.803 0.500
Tm 0.231 0.769 0.250
Tm 0.769 0.231 0.750
Sc 0.497 0.503 0.750
Sc 0.503 0.497 0.250